No. 1
A plane-wave DFT calculation with PBE was carried out for a geometry-optimized Sm2Dy9Er3 structure.

Magnetic moment, Bohr magnetons per cell: 0.00

```
data_Sm2Dy9Er3
_chemical_formula_sum 'Sm2 Dy9 Er3'
_cell_length_a 6.2596
_cell_length_b 8.6796
_cell_length_c 8.7570
_cell_angle_alpha 79.67
_cell_angle_beta 75.90
_cell_angle_gamma 86.78
_symmetry_space_group_name_H-M 'P 1'
_symmetry_Int_Tables_number 1
_symmetry_space_group_name_Hall 'P 1'
loop_
_atom_site_label
_atom_site_fract_x
_atom_site_fract_y
_atom_site_fract_z
Sm1 0.0000 0.0000 0.0000
Sm2 0.0848 0.0404 0.5623
Dy1 0.1569 0.3459 0.7674
Dy2 0.3160 0.4167 0.3510
Dy3 0.4097 0.7028 0.5688
Dy4 0.5270 0.9957 0.7686
Dy5 0.5406 0.2683 0.9967
Dy6 0.5466 0.7873 0.1640
Dy7 0.8271 0.6606 0.8000
Dy8 0.8723 0.4189 0.1687
Dy9 0.9729 0.7250 0.3628
Er1 0.2710 0.6375 0.9679
Er2 0.6443 0.0698 0.3648
Er3 0.7224 0.3664 0.5805
```



No. 2
A plane-wave DFT calculation with PBE was carried out for a geometry-optimized Sm6Dy5Er2 structure.

Magnetic moment, Bohr magnetons per cell: 0.00

```
data_Sm6Dy5Er2
_chemical_formula_sum 'Sm12 Dy10 Er4'
_cell_length_a 11.6466
_cell_length_b 20.4407
_cell_length_c 3.5979
_cell_angle_alpha 90.00
_cell_angle_beta 90.00
_cell_angle_gamma 90.00
_symmetry_space_group_name_H-M 'P b a m'
_symmetry_Int_Tables_number 55
_symmetry_space_group_name_Hall '-P 2 2ab'
loop_
_atom_site_label
_atom_site_fract_x
_atom_site_fract_y
_atom_site_fract_z
Sm1 0.0606 0.0806 0.0000
Sm2 0.0834 0.3677 0.0000
Sm3 0.1722 0.6362 0.5000
Dy1 0.0000 0.5000 0.5000
Dy2 0.0912 0.2268 0.5000
Dy3 0.1977 0.9459 0.5000
Er1 0.1665 0.7901 0.0000
```



Energy of formation
In order: 103, 100
Unit: meV/atom